# 1
VASP calculation (GGA-PBE) on a geometry-optimized FeHN3 structure.

Properties
The value obtained for the density of states at the Fermi level is 3.9 states/eV/f.u. Its space group is Pm-3m (221). The crystal system is cubic. The raw total energy comes out at -5.430 eV per atom. The size of the total moment comes out at 0.0005 μB/atom.

extended XYZ file:
```
5
Lattice="-0.8708 3.0708 1.6188 -3.0104 0.1630 -1.9286 -1.7285 -1.8309 2.5434" Properties=species:S:1:pos:R:3 pbc="T T T"
Fe 0.0000 0.0000 0.0000
N -0.4354 1.5354 0.8094
N -1.5052 0.0815 -0.9643
N -0.8643 -0.9154 1.2717
H -2.8049 0.7015 1.1168
```

# 2
VASP calculation (GGA-PBE) on a geometry-optimized Pm3SmDyEr structure.

Properties
The calculation puts the formation energy at 0.020 eV/atom. The value obtained for the density of states at the Fermi level is 8.6 states/eV/f.u. Its space group is P2_1/m (11). The crystal system is monoclinic. The raw total energy comes out at -4.669 eV per atom. The size of the total moment comes out at 0.0000 μB/atom.

extended XYZ file:
```
12
Lattice="-4.5190 -2.3850 0.0419 3.3358 -6.2534 3.8148 -4.0690 7.8193 6.2299" Properties=species:S:1:pos:R:3 pbc="T T T"
Dy -5.6997 2.7098 6.9066
Dy 0.4474 -3.5289 3.1800
Er -3.2561 3.5095 4.3742
Er -1.9961 -4.3286 5.7124
Pm -0.8999 -0.9395 5.2589
Pm -0.6484 -6.9188 3.6280
Pm -4.3524 0.1204 4.8278
Pm -4.6038 6.0996 6.4586
Pm -2.9775 -2.5209 2.7680
Pm -2.2748 1.7018 7.3187
Sm -3.3413 -1.7433 7.7845
Sm -1.9109 0.9242 2.3021
```

# 3
VASP calculation (GGA-PBE) on a geometry-optimized LaGd2Pd structure.

Properties
The calculation puts the formation energy at -0.159 eV/atom. The value obtained for the density of states at the Fermi level is 4.6 states/eV/f.u. Its space group is Fm-3m (225). The crystal system is cubic. The calculation puts the energy above the most stable polymorph in this dataset at 0.233 eV per atom. The raw total energy comes out at -9.730 eV per atom. The size of the total moment comes out at 3.9458 μB/atom.

extended XYZ file:
```
4
Lattice="5.2676 0.0000 0.0000 2.6338 4.5619 0.0000 2.6338 1.5206 4.3074" Properties=species:S:1:pos:R:3 pbc="T T T"
La 5.2676 3.0412 2.1537
Pd 0.0000 0.0000 0.0000
Gd 2.6338 1.5206 1.0754
Gd 7.9014 4.5619 3.2319
```

# 4
VASP calculation (GGA-PBE) on a geometry-optimized Pr2HoBr structure.

Properties
The value obtained for the density of states at the Fermi level is 4.1 states/eV/f.u. Its space group is R-3m (166). As for the uncorrected formation energy: -0.547 eV per atom. The crystal system is trigonal. The calculation puts the energy above the most stable polymorph in this dataset at 0.000 eV per atom. The raw total energy comes out at -4.499 eV per atom. The size of the total moment comes out at 0.0001 μB/atom.

extended XYZ file:
```
4
Lattice="3.7238 0.0000 0.0000 1.8619 3.2249 0.0000 1.8619 1.0750 10.6806" Properties=species:S:1:pos:R:3 pbc="T T T"
Pr 1.8619 1.0750 2.4435
Pr 5.5857 3.2249 8.2371
Br 0.0000 0.0000 0.0000
Ho 3.7238 2.1500 5.3403
```

# 5
VASP calculation (GGA-PBE) on a geometry-optimized NaNd4Tl3 structure.

Properties
The calculation puts the formation energy at -0.253 eV/atom. The value obtained for the density of states at the Fermi level is 7.4 states/eV/f.u. Its space group is I4/mmm (139). The crystal system is tetragonal. The raw total energy comes out at -3.689 eV per atom. The size of the total moment comes out at 0.0000 μB/atom.

extended XYZ file:
```
8
Lattice="5.2569 0.0000 -1.4190 -0.3777 5.2489 -1.3993 -0.3958 -0.4646 8.9805" Properties=species:S:1:pos:R:3 pbc="T T T"
Tl 3.6369 1.0651 3.0264
Tl -0.1889 2.6245 -0.6996
Tl 0.8464 3.7192 3.1358
Nd 1.5190 1.6055 5.6272
Nd 2.9644 3.1788 0.5350
Nd 0.5248 0.5546 1.9441
Nd 3.9586 4.2297 4.2181
Na 2.6284 0.0000 -0.7095
```

# 6
VASP calculation (GGA-PBE) on a geometry-optimized NaInP structure.

Properties
The calculation puts the formation energy at -0.131 eV/atom. The value obtained for the density of states at the Fermi level is 2.0 states/eV/f.u. Its space group is P3m1 (156). The crystal system is trigonal. The raw total energy comes out at -3.287 eV per atom. The size of the total moment comes out at 0.0000 μB/atom.

extended XYZ file:
```
3
Lattice="-2.6653 2.5847 3.5870 -3.0669 -2.8231 -0.2446 3.1262 -0.5433 2.7144" Properties=species:S:1:pos:R:3 pbc="T T T"
Na -2.8896 -0.2333 3.2812
P -0.1251 0.1213 0.1684
In 0.4086 -0.6698 2.6071
```

> Among the records above, which one has the lowest raw total energy?

LaGd2Pd

> Which of these has the highest raw total energy?

NaInP

> The highest raw total energy belongs to which entry?

NaInP